one.
Crystalline InGaBr at its relaxed geometry, computed with PBE.

a b c (Å): 3.7824 7.6806 7.6648
angles (deg): 67.16 88.03 69.66
Sites, in units of the cell vectors:
In 0.5123 0.4392 0.2377
Br 0.7376 0.0526 0.8347
In 0.9441 0.8203 0.2640
Ga 0.2300 0.1239 0.2681
Br 0.5366 0.5830 0.8255
Ga 0.3096 0.9581 0.6358

Magnetic moment (μB/f.u.): 0.00
Space-group type: P1, No. 1

two.
Crystalline InGaBr at its relaxed geometry, computed with PBE.

a b c (Å): 3.7309 7.3947 7.5577
angles (deg): 72.19 75.52 74.61
Sites, in units of the cell vectors:
Br 0.8412 0.1714 0.8964
In 0.2882 0.8620 0.2942
Ga 0.8301 0.4677 0.6143
In 0.6191 0.2291 0.2791
Ga 0.9731 0.5518 0.2381
Br 0.1551 0.6752 0.7436

Magnetic moment (μB/f.u.): 0.00
Space-group type: P1, No. 1

three.
Crystalline InGaBr at its relaxed geometry, computed with PBE.

a b c (Å): 12.0852 4.2279 7.3887
angles (deg): 90.00 104.29 90.00
Sites, in units of the cell vectors:
Ga 0.0807 0.0000 0.2812
Br 0.7870 0.0000 0.4702
In 0.2225 0.5000 0.5128
Br 0.7870 0.5000 0.9702
In 0.2225 0.0000 0.0128
In 0.6050 0.5000 0.5628
Ga 0.0066 0.5000 0.0853
In 0.6050 0.0000 0.0628
Ga 0.0807 0.5000 0.7812
Ga 0.0066 0.0000 0.5853
Br 0.4171 0.5000 0.1562
Br 0.4171 0.0000 0.6562

Magnetic moment (μB/f.u.): 0.00
Space-group type: Cm, No. 8

four.
Crystalline InGaBr at its relaxed geometry, computed with PBE.

a b c (Å): 6.3994 3.7140 16.2430
angles (deg): 90.00 98.44 90.00
Sites, in units of the cell vectors:
Br 0.8822 0.0000 0.2782
In 0.4811 0.5000 0.2555
In 0.4811 0.0000 0.7555
Br 0.3996 0.0000 0.1010
Ga 0.1472 0.5000 0.4619
In 0.8009 0.5000 0.9503
Br 0.3996 0.5000 0.6010
Br 0.8822 0.5000 0.7782
Ga 0.3629 0.0000 0.3935
Ga 0.3629 0.5000 0.8935
In 0.8009 0.0000 0.4503
Ga 0.1472 0.0000 0.9619

Magnetic moment (μB/f.u.): 0.00
Space-group type: Cm, No. 8

Q: Which of them is the least stable? A: four.